# 1
# Ce2Pm3PaP6 (PBE, optimized geometry)
# Size of the total moment (μB/f.u.): 1.17
# Calculated total energy (eV/atom): -7.186
data_Ce2Pm3PaP6
_space_group_name_H-M_alt 'C 1 2/m 1'
_space_group_IT_number 12
_cell_length_a 7.081
_cell_length_b 12.260
_cell_length_c 7.072
_cell_angle_alpha 90.00
_cell_angle_beta 109.49
_cell_angle_gamma 90.00
loop_
_space_group_symop_operation_xyz
'x,y,z'
'-x,-y,-z'
'-x,y,-z'
'x,-y,z'
'x+1/2,y+1/2,z'
'-x+1/2,-y+1/2,-z'
'-x+1/2,y+1/2,-z'
'x+1/2,-y+1/2,z'
loop_
_atom_site_label
_atom_site_fract_x
_atom_site_fract_y
_atom_site_fract_z
_atom_site_occupancy
Ce1 0.000 0.166 0.000 1
Pm1 0.000 0.000 0.500 1
Pm2 0.000 0.332 0.500 1
Pa1 0.000 0.500 0.000 1
P1 0.243 0.337 0.241 1
P2 0.245 0.500 0.759 1

---

# 2
# Y2HgSb (PBE, optimized geometry)
# Formation energy (no corrections) (eV/atom): -0.084
# Size of the total moment (μB/f.u.): 0.61
# Relative energy among the computed polymorphs (meV/atom): 703
data_Y2HgSb
_space_group_name_H-M_alt 'F -4 3 m'
_space_group_IT_number 216
_space_group_name_Hall 'F -4 2 3'
_cell_length_a 7.607
_cell_length_b 7.607
_cell_length_c 7.607
_cell_angle_alpha 90.00
_cell_angle_beta 90.00
_cell_angle_gamma 90.00
loop_
_atom_site_label
_atom_site_fract_x
_atom_site_fract_y
_atom_site_fract_z
_atom_site_occupancy
Y1 0.000 0.000 0.000 1
Y2 0.250 0.250 0.250 1
Hg1 0.250 0.250 0.750 1
Sb1 0.000 0.000 0.500 1

---

# 3
# Pa2RhO6F3 (PBE, optimized geometry)
# Formation energy (no corrections) (eV/atom): -2.369
# Size of the total moment (μB/f.u.): 2.04
data_Pa2RhO6F3
_space_group_name_H-M_alt 'C 1 2/m 1'
_space_group_IT_number 12
_cell_length_a 6.542
_cell_length_b 10.592
_cell_length_c 4.453
_cell_angle_alpha 90.00
_cell_angle_beta 102.28
_cell_angle_gamma 90.00
loop_
_space_group_symop_operation_xyz
'x,y,z'
'-x,-y,-z'
'-x,y,-z'
'x,-y,z'
'x+1/2,y+1/2,z'
'-x+1/2,-y+1/2,-z'
'-x+1/2,y+1/2,-z'
'x+1/2,-y+1/2,z'
loop_
_atom_site_label
_atom_site_fract_x
_atom_site_fract_y
_atom_site_fract_z
_atom_site_occupancy
Pa1 0.000 0.168 0.000 1
Rh1 0.000 0.500 0.000 1
O1 0.180 0.346 0.137 1
O2 0.217 0.000 0.179 1
F1 0.000 0.000 0.500 1
F2 0.000 0.236 0.500 1

---

# 4
# GdDyThIn (PBE, optimized geometry)
# Size of the total moment (μB/f.u.): 8.07
# Calculated total energy (eV/atom): -7.247
data_GdDyThIn
_space_group_name_H-M_alt 'F -4 3 m'
_space_group_IT_number 216
_space_group_name_Hall 'F -4 2 3'
_cell_length_a 7.750
_cell_length_b 7.750
_cell_length_c 7.750
_cell_angle_alpha 90.00
_cell_angle_beta 90.00
_cell_angle_gamma 90.00
loop_
_atom_site_label
_atom_site_fract_x
_atom_site_fract_y
_atom_site_fract_z
_atom_site_occupancy
Gd1 0.000 0.000 0.000 1
Dy1 0.000 0.000 0.500 1
Th1 0.250 0.250 0.750 1
In1 0.250 0.250 0.250 1

---

# 5
# CsCu3Te3 (PBE, optimized geometry)
# Formation energy (no corrections) (eV/atom): -0.340
# Size of the total moment (μB/f.u.): 0.00
data_CsCu3Te3
_space_group_name_H-M_alt 'P m -3 n'
_space_group_IT_number 223
_space_group_name_Hall '-P 4n 2 3'
_cell_length_a 7.358
_cell_length_b 7.358
_cell_length_c 7.358
_cell_angle_alpha 90.00
_cell_angle_beta 90.00
_cell_angle_gamma 90.00
loop_
_atom_site_label
_atom_site_fract_x
_atom_site_fract_y
_atom_site_fract_z
_atom_site_occupancy
Cs1 0.000 0.000 0.000 1
Cu1 0.000 0.250 0.500 1
Te1 0.000 0.500 0.250 1

---

# 6
# USnRh2 (PBE, optimized geometry)
# Size of the total moment (μB/f.u.): 1.18
# Calculated total energy (eV/atom): -7.956
data_USnRh2
_space_group_name_H-M_alt 'P n m a'
_space_group_IT_number 62
_cell_length_a 5.491
_cell_length_b 5.180
_cell_length_c 10.936
_cell_angle_alpha 90.00
_cell_angle_beta 90.00
_cell_angle_gamma 90.00
loop_
_space_group_symop_operation_xyz
'x,y,z'
'-x,-y,-z'
'-x+1/2,-y,z+1/2'
'x+1/2,y,-z+1/2'
'x+1/2,-y+1/2,-z+1/2'
'-x+1/2,y+1/2,z+1/2'
'-x,y+1/2,-z'
'x,-y+1/2,z'
loop_
_atom_site_label
_atom_site_fract_x
_atom_site_fract_y
_atom_site_fract_z
_atom_site_occupancy
U1 0.166 0.250 0.139 1
Sn1 0.031 0.750 0.357 1
Rh1 0.024 0.750 0.105 1
Rh2 0.183 0.250 0.395 1

---

# 7
# Ti2CdGa (PBE, optimized geometry)
# Size of the total moment (μB/f.u.): 0.00
# Calculated total energy (eV/atom): -4.738
data_Ti2CdGa
_space_group_name_H-M_alt 'I -4 2 d'
_space_group_IT_number 122
_space_group_name_Hall 'I -4 2bw'
_cell_length_a 7.402
_cell_length_b 7.402
_cell_length_c 5.478
_cell_angle_alpha 90.00
_cell_angle_beta 90.00
_cell_angle_gamma 90.00
loop_
_atom_site_label
_atom_site_fract_x
_atom_site_fract_y
_atom_site_fract_z
_atom_site_occupancy
Ti1 0.235 0.250 0.125 1
Cd1 0.000 0.000 0.500 1
Ga1 0.000 0.000 0.000 1

---

# 8
# FeSb2Te (PBE, optimized geometry)
# Formation energy (no corrections) (eV/atom): 0.144
# Size of the total moment (μB/f.u.): 1.82
data_FeSb2Te
_space_group_name_H-M_alt 'R 3 m'
_space_group_IT_number 160
_space_group_name_Hall 'R 3 -2"'
_cell_length_a 3.5081
_cell_length_b 3.5081
_cell_length_c 27.5116
_cell_angle_alpha 90.00
_cell_angle_beta 90.00
_cell_angle_gamma 120.00
loop_
_atom_site_label
_atom_site_fract_x
_atom_site_fract_y
_atom_site_fract_z
_atom_site_occupancy
Fe1 0.0000 0.0000 0.0000 1
Sb1 0.0000 0.0000 0.2709 1
Sb2 0.0000 0.0000 0.5148 1
Te1 0.0000 0.0000 0.7249 1

---

# 9
# LaGaTcO6 (PBE, optimized geometry)
# Formation energy (no corrections) (eV/atom): -1.922
# Size of the total moment (μB/f.u.): 1.01
data_LaGaTcO6
_space_group_name_H-M_alt 'P 42 n m'
_space_group_IT_number 102
_cell_length_a 4.906
_cell_length_b 4.906
_cell_length_c 9.782
_cell_angle_alpha 90.00
_cell_angle_beta 90.00
_cell_angle_gamma 90.00
loop_
_space_group_symop_operation_xyz
'x,y,z'
'-y+1/2,x+1/2,z+1/2'
'-x,-y,z'
'y+1/2,-x+1/2,z+1/2'
'-x+1/2,y+1/2,z+1/2'
'y,x,z'
'x+1/2,-y+1/2,z+1/2'
'-y,-x,z'
loop_
_atom_site_label
_atom_site_fract_x
_atom_site_fract_y
_atom_site_fract_z
_atom_site_occupancy
La1 0.000 0.000 0.000 1
Ga1 0.000 0.000 0.345 1
Tc1 0.000 0.000 0.670 1
O1 0.171 0.171 0.513 1
O2 0.219 0.219 0.815 1
O3 0.236 0.236 0.196 1

---

# 10
# InPdPt2 (PBE, optimized geometry)
# Size of the total moment (μB/f.u.): 0.00
# Calculated total energy (eV/atom): -5.109
data_InPdPt2
_space_group_name_H-M_alt 'I -4 2 d'
_space_group_IT_number 122
_space_group_name_Hall 'I -4 2bw'
_cell_length_a 3.857
_cell_length_b 3.857
_cell_length_c 19.450
_cell_angle_alpha 90.00
_cell_angle_beta 90.00
_cell_angle_gamma 90.00
loop_
_atom_site_label
_atom_site_fract_x
_atom_site_fract_y
_atom_site_fract_z
_atom_site_occupancy
In1 0.000 0.000 0.000 1
Pd1 0.000 0.000 0.500 1
Pt1 0.245 0.250 0.625 1

---

# 11
# MgGaHPd2 (PBE, optimized geometry)
# Size of the total moment (μB/f.u.): 0.00
# Calculated total energy (eV/atom): -4.075
data_MgGaHPd2
_space_group_name_H-M_alt 'P 4/m m m'
_space_group_IT_number 123
_space_group_name_Hall '-P 4 2'
_cell_length_a 4.064
_cell_length_b 4.064
_cell_length_c 3.939
_cell_angle_alpha 90.00
_cell_angle_beta 90.00
_cell_angle_gamma 90.00
loop_
_atom_site_label
_atom_site_fract_x
_atom_site_fract_y
_atom_site_fract_z
_atom_site_occupancy
Mg1 0.000 0.000 0.000 1
Ga1 0.500 0.500 0.000 1
H1 0.000 0.000 0.500 1
Pd1 0.000 0.500 0.500 1

---

# 12
# CeEuSb (PBE, optimized geometry)
# Formation energy (no corrections) (eV/atom): -0.433
# Size of the total moment (μB/f.u.): 8.77
# Relative energy among the computed polymorphs (meV/atom): 178
data_CeEuSb
_space_group_name_H-M_alt 'P 3 m 1'
_space_group_IT_number 156
_cell_length_a 5.1609
_cell_length_b 5.1609
_cell_length_c 4.0762
_cell_angle_alpha 90.00
_cell_angle_beta 90.00
_cell_angle_gamma 120.00
loop_
_space_group_symop_operation_xyz
'x,y,z'
'-y,x-y,z'
'-x+y,-x,z'
'-y,-x,z'
'-x+y,y,z'
'x,x-y,z'
loop_
_atom_site_label
_atom_site_fract_x
_atom_site_fract_y
_atom_site_fract_z
_atom_site_occupancy
Ce1 0.0000 0.0000 0.0000 1
Eu1 0.3333 0.6667 0.4150 1
Sb1 0.6667 0.3333 0.7091 1